Gd2HoNiGe3Ir2: optimized geometry, PBE-GGA.

Cell lengths 3.8776, 7.0832, 7.0832 Å; angles 119.75, 90.00, 90.00 degrees
Positions (direct):
Gd 0.0000 0.2017 0.7983
Gd 0.0000 0.7983 0.2017
Ho 0.0000 0.3958 0.3958
Ni 0.0000 0.7956 0.7956
Ge 0.5000 0.0471 0.0471
Ge 0.5000 0.5494 0.7968
Ge 0.5000 0.7968 0.5494
Ir 0.5000 0.1345 0.4632
Ir 0.5000 0.4632 0.1345

For the final energy, the calculation gives -6.46 eV per atom. The calculation puts the magnetic moment at 0.000 μB/atom. As for the space-group type: No. 38.

---

HoTm2Sc3CuTe2: optimized geometry, PBE-GGA.

Cell lengths 3.9204, 7.9809, 7.9809 Å; angles 119.93, 90.00, 90.00 degrees
Positions (direct):
Ho 0.0000 0.0000 0.0000
Tm 0.0000 0.2113 0.6048
Tm 0.0000 0.6048 0.2113
Sc 0.5000 0.3673 0.3673
Sc 0.5000 0.6037 0.8422
Sc 0.5000 0.8422 0.6037
Cu 0.0000 0.6025 0.6025
Te 0.5000 0.2723 0.9377
Te 0.5000 0.9377 0.2723

For the final energy, the calculation gives -5.37 eV per atom. The calculation puts the magnetic moment at 0.002 μB/atom. As for the space-group type: No. 38.

---

Ga6NiGe2: optimized geometry, PBE-GGA.

Cell lengths 7.0715, 7.0715, 3.6148 Å; angles 90.00, 90.00, 120.00 degrees
Positions (direct):
Ga 0.0000 0.2476 0.0000
Ga 0.0000 0.6326 0.5000
Ga 0.2476 0.0000 0.0000
Ga 0.3674 0.3674 0.5000
Ga 0.6326 0.0000 0.5000
Ga 0.7524 0.7524 0.0000
Ni 0.0000 0.0000 0.5000
Ge 0.3333 0.6667 0.0000
Ge 0.6667 0.3333 0.0000

For the final energy, the calculation gives -3.69 eV per atom. The calculation puts the magnetic moment at 0.000 μB/atom. As for the space-group type: No. 189.

---

Tm3ThB: optimized geometry, PBE-GGA.

Cell lengths 6.4182, 6.4182, 6.4182 Å; angles 91.97, 91.97, 91.97 degrees
Positions (direct):
Tm 0.0227 0.7500 0.4773
Tm 0.2500 0.5227 0.9773
Tm 0.4773 0.0227 0.7500
Tm 0.5227 0.9773 0.2500
Tm 0.7500 0.4773 0.0227
Tm 0.9773 0.2500 0.5227
Th 0.0000 0.0000 0.0000
Th 0.5000 0.5000 0.5000
B 0.2500 0.2500 0.2500
B 0.7500 0.7500 0.7500

For the final energy, the calculation gives -5.30 eV per atom. The calculation puts the magnetic moment at 0.006 μB/atom. As for the space-group type: No. 167.

---

SnPtSO: optimized geometry, PBE-GGA.

Cell lengths 5.4360, 6.5736, 8.6490 Å; angles 90.00, 90.00, 90.00 degrees
Positions (direct):
Sn 0.1592 0.1084 0.4136
Sn 0.3408 0.8916 0.9136
Sn 0.6592 0.3916 0.5864
Sn 0.8408 0.6084 0.0864
Pt 0.0712 0.2778 0.0022
Pt 0.4288 0.7222 0.5022
Pt 0.5712 0.2222 0.9978
Pt 0.9288 0.7778 0.4978
S 0.1639 0.6683 0.7044
S 0.3361 0.3317 0.2044
S 0.6639 0.8317 0.2956
S 0.8361 0.1683 0.7956
O 0.1309 0.7996 0.0907
O 0.3691 0.2004 0.5907
O 0.6309 0.7004 0.9093
O 0.8691 0.2996 0.4093

The calculation puts the energy above the most stable polymorph in this dataset at 0.090 eV per atom. For the final energy, the calculation gives -5.40 eV per atom. The calculation puts the magnetic moment at 0.000 μB/atom. As for the space-group type: No. 19.

---

La2Al3CdNi2: optimized geometry, PBE-GGA.

Cell lengths 5.5314, 5.5314, 7.3735 Å; angles 90.06, 90.06, 45.11 degrees
Positions (direct):
La 0.0000 0.0000 0.0000
La 0.1137 0.1137 0.4872
Al 0.3958 0.3958 0.6914
Al 0.3970 0.3970 0.3081
Al 0.7229 0.7229 0.1943
Cd 0.7082 0.7082 0.8001
Ni 0.2846 0.2846 0.0166
Ni 0.8467 0.8467 0.4871

For the final energy, the calculation gives -4.63 eV per atom. The calculation puts the magnetic moment at 0.000 μB/atom. As for the space-group type: No. 8.